Here is NpNi2Se after structural relaxation from Alexandria. Energies are from PBE.

Lattice parameters (Å, degrees): 4.032 4.032 13.980 90.00 90.00 120.00
Positions (direct):
Np 0.000 0.000 0.000
Np 0.333 0.667 0.667
Np 0.667 0.333 0.333
Ni 0.000 0.000 0.221
Ni 0.000 0.000 0.779
Ni 0.333 0.667 0.445
Ni 0.333 0.667 0.888
Ni 0.667 0.333 0.112
Ni 0.667 0.333 0.555
Se 0.000 0.000 0.500
Se 0.333 0.667 0.167
Se 0.667 0.333 0.833

Summary:
**Calculated total energy**: -0.51983 Ry/atom
**Raw formation energy**: -76 meV per atom
**Magnetic moment**: 3.60 μB per formula unit
**Volume**: 197 Å³ per cell
**DOS at the Fermi energy**: 13.20 states/eV/f.u.